# 1
# MnV2OsC | Alexandria | GGA-PBE | relaxed
data_MnV2OsC
_cell_length_a 3.959
_cell_length_b 3.959
_cell_length_c 3.741
_cell_angle_alpha 90.00
_cell_angle_beta 90.00
_cell_angle_gamma 90.00
_space_group_name_H-M_alt 'P 4/m m m'
_space_group_IT_number 123
_space_group_name_Hall '-P 4 2'
loop_
_atom_site_label
_atom_site_type_symbol
_atom_site_fract_x
_atom_site_fract_y
_atom_site_fract_z
Mn1 Mn 0.000 0.000 0.000
V1 V 0.000 0.500 0.500
Os1 Os 0.500 0.500 0.000
C1 C 0.000 0.000 0.500
# Magnetization   0.00 μB per cell
# ρ   10.2 g/cm³
# Energy of formation from the pure elements   -0.11 eV/atom


# 2
# Mn2ZnOsC | Alexandria | GGA-PBE | relaxed
data_Mn2ZnOsC
_cell_length_a 3.966
_cell_length_b 3.966
_cell_length_c 3.985
_cell_angle_alpha 90.00
_cell_angle_beta 90.00
_cell_angle_gamma 90.00
_space_group_name_H-M_alt 'P 4/m m m'
_space_group_IT_number 123
_space_group_name_Hall '-P 4 2'
loop_
_atom_site_label
_atom_site_type_symbol
_atom_site_fract_x
_atom_site_fract_y
_atom_site_fract_z
Mn1 Mn 0.000 0.500 0.000
Zn1 Zn 0.000 0.000 0.500
Os1 Os 0.500 0.500 0.500
C1 C 0.500 0.500 0.000
# Magnetization   5.91 μB per cell
# ρ   10.0 g/cm³
# Energy of formation from the pure elements   0.10 eV/atom


# 3
# ZrMnOs2C | Alexandria | GGA-PBE | relaxed
data_ZrMnOs2C
_cell_length_a 4.111
_cell_length_b 4.111
_cell_length_c 3.977
_cell_angle_alpha 90.00
_cell_angle_beta 90.00
_cell_angle_gamma 90.00
_space_group_name_H-M_alt 'P 4/m m m'
_space_group_IT_number 123
_space_group_name_Hall '-P 4 2'
loop_
_atom_site_label
_atom_site_type_symbol
_atom_site_fract_x
_atom_site_fract_y
_atom_site_fract_z
Zr1 Zr 0.000 0.000 0.000
Mn1 Mn 0.500 0.500 0.000
Os1 Os 0.000 0.500 0.500
C1 C 0.500 0.500 0.500
# Magnetization   0.91 μB per cell
# ρ   13.3 g/cm³
# Energy of formation from the pure elements   -0.12 eV/atom